# 1
# LaSiAg2

A relaxed LaSiAg2 crystal (GGA-PBE, Alexandria via LeMat-Bulk).

```
LaSiAg2
1.0
4.546 0.000 0.000
-2.273 3.937 0.000
0.000 0.000 15.125
La Si Ag
3 3 6
Cartesian
0.000 0.000 0.000
0.000 2.624 10.083
2.273 1.312 5.042
0.000 0.000 3.271
0.000 2.624 13.354
2.273 1.312 8.312
0.000 0.000 7.944
0.000 0.000 11.919
0.000 2.624 2.903
0.000 2.624 6.878
2.273 1.312 1.836
2.273 1.312 12.986
```

Output
Space-group type ... R3m
Crystal system ... trigonal
Formation energy from raw total energies ... -0.2624 eV/atom

# 2
# LaPN3

A relaxed LaPN3 crystal (GGA-PBE, Alexandria via LeMat-Bulk).

```
LaPN3
1.0
3.701 0.000 0.000
0.000 3.701 0.000
0.000 0.000 3.701
La P N
1 1 3
Cartesian
0.000 0.000 0.000
1.850 1.850 1.850
0.000 1.850 1.850
1.850 0.000 1.850
1.850 1.850 0.000
```

Output
Space-group type ... Pm-3m
Crystal system ... cubic
Formation energy from raw total energies ... -0.2861 eV/atom

# 3
# CoHgPt2

A relaxed CoHgPt2 crystal (GGA-PBE, Alexandria via LeMat-Bulk).

```
CoHgPt2
1.0
4.002 0.000 0.000
0.000 4.002 0.000
0.000 0.000 7.921
Co Hg Pt
2 2 4
Cartesian
0.000 0.000 0.000
2.001 2.001 3.961
0.000 0.000 3.961
2.001 2.001 0.000
0.000 2.001 1.980
0.000 2.001 5.941
2.001 0.000 1.980
2.001 0.000 5.941
```

Output
Space-group type ... I4/mmm
Crystal system ... tetragonal
ΔH_f (0 K) ... 39 kJ/mol of formula units

# 4
# PuTlIn

A relaxed PuTlIn crystal (GGA-PBE, Alexandria via LeMat-Bulk).

```
PuTlIn
1.0
2.532 1.462 8.168
-2.532 1.462 8.168
0.000 -2.923 8.168
Pu Tl In
2 2 2
Cartesian
0.000 0.000 1.660
0.000 0.000 22.844
0.000 0.000 4.822
0.000 0.000 19.682
0.000 0.000 8.044
0.000 0.000 16.460
```

Output
ΔE to the lowest computed polymorph ... 135 meV per atom
Space-group type ... R-3m
Crystal system ... trigonal
ΔH_f (0 K) ... 20 kJ/mol of formula units

# 5
# SrPI2N

A relaxed SrPI2N crystal (GGA-PBE, Alexandria via LeMat-Bulk).

```
SrPI2N
1.0
6.082 0.000 0.000
0.000 6.082 0.000
0.000 0.000 3.598
Sr P I N
1 1 2 1
Cartesian
0.000 0.000 0.000
3.041 3.041 1.799
0.000 3.041 1.799
3.041 0.000 1.799
3.041 3.041 0.000
```

Output
ΔE to the lowest computed polymorph ... 0 meV per atom
Space-group type ... P4/mmm
Crystal system ... tetragonal
Formation energy from raw total energies ... -0.1355 eV/atom

# 6
# PrThSn

A relaxed PrThSn crystal (GGA-PBE, Alexandria via LeMat-Bulk).

```
PrThSn
1.0
4.650 0.000 0.000
0.000 4.650 0.000
0.000 0.000 8.986
Pr Th Sn
2 2 2
Cartesian
1.162 1.162 1.285
3.487 3.487 7.702
1.162 3.487 4.493
3.487 1.162 4.493
1.162 1.162 6.955
3.487 3.487 2.031
```

Output
ΔE to the lowest computed polymorph ... 0 meV per atom
Space-group type ... P4/nmm
Crystal system ... tetragonal
ΔH_f (0 K) ... -147 kJ/mol of formula units

# 7
# AlTcIr2

A relaxed AlTcIr2 crystal (GGA-PBE, Alexandria via LeMat-Bulk).

```
AlTcIr2
1.0
2.875 0.000 0.000
0.000 4.407 0.000
0.000 0.000 9.071
Al Tc Ir
2 2 4
Cartesian
0.000 0.000 0.000
1.437 2.203 4.535
0.000 2.203 2.444
1.437 0.000 6.980
0.000 0.000 4.587
0.000 2.203 6.536
1.437 0.000 2.001
1.437 2.203 0.052
```

Output
Space-group type ... Imm2
Crystal system ... orthorhombic
ΔH_f (0 K) ... -100 kJ/mol of formula units

# 8
# RbMgInAs

A relaxed RbMgInAs crystal (GGA-PBE, Alexandria via LeMat-Bulk).

```
RbMgInAs
1.0
5.352 0.000 0.000
0.000 5.352 0.000
-0.008 0.000 8.159
Rb Mg In As
2 2 2 2
Cartesian
0.000 0.000 0.000
2.676 2.676 0.000
0.013 0.000 4.710
2.689 2.676 4.710
2.670 0.000 2.757
5.346 2.676 2.757
0.009 2.676 5.555
2.685 0.000 5.555
```

Output
Space-group type ... Cm
Crystal system ... monoclinic
ΔH_f (0 K) ... -100 kJ/mol of formula units

# 9
# La3GaO

A relaxed La3GaO crystal (GGA-PBE, Alexandria via LeMat-Bulk).

```
La3GaO
1.0
6.753 0.000 0.000
1.157 7.074 0.000
2.690 3.106 6.118
La Ga O
6 2 2
Cartesian
2.026 2.498 1.045
3.836 2.925 4.631
3.446 5.764 2.062
7.154 4.416 4.056
6.764 7.256 1.487
8.574 7.682 5.073
5.150 6.925 4.405
5.450 3.255 1.713
2.287 7.456 0.886
8.313 2.725 5.232
```

Output
Space-group type ... P-1
Crystal system ... triclinic
Formation energy from raw total energies ... -1.3144 eV/atom

# 10
# Pr6Co2SeBr3

A relaxed Pr6Co2SeBr3 crystal (GGA-PBE, Alexandria via LeMat-Bulk).

```
Pr6Co2SeBr3
1.0
9.618 -2.034 0.000
9.618 2.034 0.000
-2.807 0.000 8.787
Pr Co Se Br
6 2 1 3
Cartesian
-0.271 0.000 2.153
4.861 0.000 3.980
3.962 0.000 7.658
12.467 0.000 1.128
11.567 0.000 4.806
16.700 0.000 6.634
2.294 0.000 2.899
14.135 0.000 5.887
9.618 0.000 0.000
0.713 0.000 7.330
8.214 0.000 4.393
15.716 0.000 1.457
```

Output
Space-group type ... C2/m
Crystal system ... monoclinic
Formation energy from raw total energies ... -0.9793 eV/atom

# 11
# Ca2GaRhS

A relaxed Ca2GaRhS crystal (GGA-PBE, Alexandria via LeMat-Bulk).

```
Ca2GaRhS
1.0
5.653 0.000 0.000
0.000 5.653 0.000
0.000 0.000 4.375
Ca Ga Rh S
2 1 1 1
Cartesian
0.000 2.827 0.000
2.827 0.000 0.000
0.000 0.000 0.000
2.827 2.827 2.187
0.000 0.000 2.187
```

Output
Space-group type ... P4/mmm
Crystal system ... tetragonal
Formation energy from raw total energies ... 0.3503 eV/atom

# 12
# DyTh2Pb

A relaxed DyTh2Pb crystal (GGA-PBE, Alexandria via LeMat-Bulk).

```
DyTh2Pb
1.0
4.822 0.000 0.000
0.000 4.822 0.000
0.000 0.000 5.156
Dy Th Pb
1 2 1
Cartesian
0.000 0.000 0.000
0.000 2.411 2.578
2.411 0.000 2.578
2.411 2.411 0.000
```

Output
ΔE to the lowest computed polymorph ... 0 meV per atom
Space-group type ... P4/mmm
Crystal system ... tetragonal
ΔH_f (0 K) ... -79 kJ/mol of formula units

# 13
# NiSb2Pb

A relaxed NiSb2Pb crystal (GGA-PBE, Alexandria via LeMat-Bulk).

```
NiSb2Pb
1.0
4.645 0.000 0.000
0.000 4.645 0.000
0.000 0.000 4.501
Ni Sb Pb
1 2 1
Cartesian
0.000 0.000 0.000
0.000 2.322 2.251
2.322 0.000 2.251
2.322 2.322 0.000
```

Output
Space-group type ... P4/mmm
Crystal system ... tetragonal
Formation energy from raw total energies ... 0.4089 eV/atom

# 14
# Ce3H2Se2

A relaxed Ce3H2Se2 crystal (GGA-PBE, Alexandria via LeMat-Bulk).

```
Ce3H2Se2
1.0
11.571 0.000 0.000
0.000 3.898 0.000
-3.489 0.000 6.258
Ce H Se
6 4 4
Cartesian
0.000 0.000 0.000
-0.428 0.000 4.444
2.725 1.949 1.814
5.785 1.949 0.000
5.358 1.949 4.444
8.510 0.000 1.814
2.272 0.000 0.485
0.024 1.949 5.773
8.058 1.949 0.485
5.810 0.000 5.773
-0.344 1.949 2.166
2.641 0.000 4.092
5.441 0.000 2.166
8.427 1.949 4.092
```

Output
Space-group type ... C2/m
Crystal system ... monoclinic

# 15
# Ac2TiRuS6

A relaxed Ac2TiRuS6 crystal (GGA-PBE, Alexandria via LeMat-Bulk).

```
Ac2TiRuS6
1.0
6.553 0.000 0.000
0.000 9.272 0.000
0.000 0.000 7.214
Ac Ti Ru S
4 2 2 12
Cartesian
1.638 0.015 1.415
1.638 4.621 1.415
4.914 4.651 5.800
4.914 9.257 5.800
1.638 6.954 4.983
4.914 2.318 2.231
1.638 2.318 5.339
4.914 6.954 1.875
0.011 2.318 7.110
0.089 2.318 3.606
1.638 4.665 5.676
1.638 9.244 5.676
3.187 2.318 3.606
3.265 2.318 7.110
3.287 6.954 0.105
3.365 6.954 3.608
4.914 0.029 1.539
4.914 4.607 1.539
6.464 6.954 3.608
6.542 6.954 0.105
```

Output
Space-group type ... Pmmn
Crystal system ... orthorhombic
Formation energy from raw total energies ... -1.3932 eV/atom

# 16
# Sm4Dy3Th2

A relaxed Sm4Dy3Th2 crystal (GGA-PBE, Alexandria via LeMat-Bulk).

```
Sm4Dy3Th2
1.0
9.390 -1.811 0.000
9.390 1.811 0.000
-4.161 0.000 8.660
Sm Dy Th
4 3 2
Cartesian
-1.068 0.000 2.877
3.117 0.000 5.835
11.501 0.000 2.825
15.687 0.000 5.783
5.206 0.000 2.823
9.390 0.000 0.000
9.412 0.000 5.837
-0.998 0.000 8.653
15.616 0.000 0.007
```

Output
ΔE to the lowest computed polymorph ... 0 meV per atom
Space-group type ... C2/m
Crystal system ... monoclinic
ΔH_f (0 K) ... 7 kJ/mol of formula units

# 17
# YbReO3

A relaxed YbReO3 crystal (GGA-PBE, Alexandria via LeMat-Bulk).

```
YbReO3
1.0
3.966 0.000 0.000
0.000 3.966 0.000
0.000 0.000 3.966
Yb Re O
1 1 3
Cartesian
0.000 0.000 0.000
1.983 1.983 1.983
0.000 1.983 1.983
1.983 0.000 1.983
1.983 1.983 0.000
```

Output
Space-group type ... Pm-3m
Crystal system ... cubic
Formation energy from raw total energies ... -1.8331 eV/atom

# 18
# Cs8Bi2Te

A relaxed Cs8Bi2Te crystal (GGA-PBE, Alexandria via LeMat-Bulk).

```
Cs8Bi2Te
1.0
-3.295 4.626 10.058
3.295 -4.626 10.058
3.295 4.626 -10.058
Cs Bi Te
8 2 1
Cartesian
3.295 2.426 -2.979
0.000 0.000 3.775
0.000 2.475 0.000
3.295 2.426 2.979
0.000 2.199 7.079
0.000 6.776 0.000
0.000 0.000 16.342
0.000 2.199 13.038
3.295 0.000 6.443
0.000 4.626 3.615
3.295 0.000 0.000
```

Output
Space-group type ... Immm
Crystal system ... orthorhombic
Formation energy from raw total energies ... -0.5139 eV/atom

# 19
# Pr5NdTl5

A relaxed Pr5NdTl5 crystal (GGA-PBE, Alexandria via LeMat-Bulk).

```
Pr5NdTl5
1.0
8.464 -3.058 0.000
8.464 3.058 0.000
-0.984 0.000 7.135
Pr Nd Tl
5 1 5
Cartesian
0.000 0.000 0.000
4.869 0.000 4.132
5.981 0.000 0.633
9.962 0.000 6.502
11.074 0.000 3.003
-0.492 0.000 3.567
2.041 0.000 5.545
2.724 0.000 1.621
7.972 0.000 3.567
13.219 0.000 5.514
13.903 0.000 1.590
```

Output
Space-group type ... C2/m
Crystal system ... monoclinic
ΔH_f (0 K) ... -164 kJ/mol of formula units

# 20
# ZrCuAs

A relaxed ZrCuAs crystal (GGA-PBE, Alexandria via LeMat-Bulk).

```
ZrCuAs
1.0
4.130 0.000 0.000
0.000 5.174 0.000
0.000 0.000 9.806
Zr Cu As
4 4 4
Cartesian
0.000 0.000 0.000
0.000 2.587 4.903
2.065 0.000 4.903
2.065 2.587 0.000
0.000 0.000 3.117
0.000 2.587 8.020
2.065 0.000 8.020
2.065 2.587 3.117
0.000 0.000 6.706
0.000 2.587 1.802
2.065 0.000 1.802
2.065 2.587 6.706
```

Output
Space-group type ... Fmm2
Crystal system ... orthorhombic
ΔH_f (0 K) ... -98 kJ/mol of formula units

# 21
# HgIr3

A relaxed HgIr3 crystal (GGA-PBE, Alexandria via LeMat-Bulk).

```
HgIr3
1.0
2.771 0.000 0.000
0.000 4.789 0.000
0.000 0.000 9.876
Hg Ir
2 6
Cartesian
0.000 0.000 0.000
1.386 2.394 4.938
0.000 0.000 4.938
0.000 2.394 2.268
0.000 2.394 7.608
1.386 0.000 2.670
1.386 0.000 7.206
1.386 2.394 0.000
```

Output
Space-group type ... Immm
Crystal system ... orthorhombic
ΔH_f (0 K) ... 192 kJ/mol of formula units

# 22
# Ti2TcPd2

A relaxed Ti2TcPd2 crystal (GGA-PBE, Alexandria via LeMat-Bulk).

```
Ti2TcPd2
1.0
6.676 0.000 0.000
0.000 6.676 0.000
0.000 0.000 3.586
Ti Tc Pd
4 2 4
Cartesian
1.057 2.281 0.000
2.281 5.619 0.000
4.394 1.057 0.000
5.619 4.394 0.000
0.000 0.000 0.000
3.338 3.338 0.000
0.989 4.327 1.793
2.349 0.989 1.793
4.327 5.686 1.793
5.686 2.349 1.793
```

Output
ΔE to the lowest computed polymorph ... 278 meV per atom
Space-group type ... P4/mbm
Crystal system ... tetragonal
ΔH_f (0 K) ... -117 kJ/mol of formula units

# 23
# AcMnPd4

A relaxed AcMnPd4 crystal (GGA-PBE, Alexandria via LeMat-Bulk).

```
AcMnPd4
1.0
7.868 0.000 0.000
0.000 4.093 0.000
0.000 0.000 7.158
Ac Mn Pd
2 2 8
Cartesian
1.967 0.000 1.101
5.901 0.000 6.057
1.967 0.000 5.143
5.901 0.000 2.016
0.000 0.000 3.579
0.419 2.046 5.787
1.967 2.046 3.388
3.515 2.046 5.787
3.934 0.000 3.579
4.352 2.046 1.371
5.901 2.046 3.770
7.449 2.046 1.371
```

Output
ΔE to the lowest computed polymorph ... 0 meV per atom
Space-group type ... Pmma
Crystal system ... orthorhombic
ΔH_f (0 K) ... -269 kJ/mol of formula units

# 24
# Tb2PrTl4

A relaxed Tb2PrTl4 crystal (GGA-PBE, Alexandria via LeMat-Bulk).

```
Tb2PrTl4
1.0
7.751 0.000 0.000
0.000 7.751 0.000
0.000 0.000 7.303
Tb Pr Tl
4 2 8
Cartesian
0.000 3.875 0.000
0.000 3.875 3.651
3.875 0.000 0.000
3.875 0.000 3.651
0.000 0.000 0.000
3.875 3.875 3.651
1.938 1.938 1.826
1.938 1.938 5.477
1.938 5.813 1.826
1.938 5.813 5.477
5.813 1.938 1.826
5.813 1.938 5.477
5.813 5.813 1.826
5.813 5.813 5.477
```

Output
ΔE to the lowest computed polymorph ... 0 meV per atom
Space-group type ... I4/mmm
Crystal system ... tetragonal
ΔH_f (0 K) ... -152 kJ/mol of formula units

Looking at total DFT energy (no corrections) for the records above, in order, we have -4.276, -7.349, -4.770, -6.409, -3.839, -5.907, -8.216, -2.747, -5.868, -5.262, -3.351, -5.993, -4.025, -5.615, -6.408, -5.272, -7.603, -2.126, -3.836, -6.102, -6.224, -7.551, -6.140, -3.583 eV per atom.